(1)
# LaNd6Tl3

An optimized crystal structure of LaNd6Tl3 (PBE-GGA, Alexandria).

Cell lengths 5.462, 10.203, 11.742 Å; angles 102.11, 90.00, 90.00 degrees
Fractional coordinates of all 20 atoms:
Nd 0.750 0.185 0.719
Nd 0.750 0.866 0.773
Nd 0.250 0.641 0.693
Nd 0.250 0.072 0.909
Tl 0.250 0.541 0.394
Nd 0.250 0.276 0.520
La 0.250 0.957 0.594
Nd 0.250 0.454 0.096
Nd 0.750 0.724 0.480
Nd 0.750 0.359 0.307
Tl 0.750 0.644 0.191
La 0.750 0.043 0.406
Nd 0.250 0.134 0.227
Tl 0.750 0.459 0.606
Tl 0.250 0.356 0.809
Tl 0.750 0.239 0.023
Tl 0.250 0.761 0.977
Nd 0.750 0.928 0.091
Nd 0.250 0.815 0.281
Nd 0.750 0.546 0.904

Calculated values
Total magnetization = 0.00 μB per atom
Distance to the lowest polymorph of the same formula = 0 meV/atom
Formation energy = -2.1 eV/f.u.
Space group = P2_1/m (11)



(2)
# La3Nd4Tl4

An optimized crystal structure of La3Nd4Tl4 (PBE-GGA, Alexandria).

Cell lengths 3.858, 9.771, 11.083 Å; angles 116.16, 100.02, 90.00 degrees
Fractional coordinates of all 11 atoms:
Tl 0.268 0.768 0.535
La 0.903 0.903 0.806
Tl 0.732 0.232 0.465
Tl 0.500 0.220 0.000
Tl 0.500 0.780 0.000
Nd 0.664 0.480 0.329
La 0.000 0.500 0.000
Nd 0.336 0.520 0.671
Nd 0.336 0.151 0.671
Nd 0.664 0.849 0.329
La 0.097 0.097 0.194

Calculated values
Total magnetization = 0.00 μB per atom
Formation energy = -2.9 eV/f.u.
Space group = Immm (71)



(3)
# LaNd4Tl3

An optimized crystal structure of LaNd4Tl3 (PBE-GGA, Alexandria).

Cell lengths 3.832, 5.679, 23.524 Å; angles 149.82, 94.67, 90.00 degrees
Fractional coordinates of all 8 atoms:
Tl 0.121 0.780 0.242
Nd 0.736 0.644 0.472
Nd 0.378 0.698 0.755
Tl 0.000 0.500 0.000
La 0.500 0.000 0.000
Tl 0.879 0.220 0.758
Nd 0.264 0.356 0.528
Nd 0.622 0.302 0.245

Calculated values
Total magnetization = 0.00 μB per atom
Distance to the lowest polymorph of the same formula = 0 meV/atom
Formation energy = -2.3 eV/f.u.
Space group = C2/m (12)



(4)
# La8Nd5Tl

An optimized crystal structure of La8Nd5Tl (PBE-GGA, Alexandria).

Cell lengths 9.095, 9.318, 8.997 Å; angles 123.24, 122.52, 85.45 degrees
Fractional coordinates of all 14 atoms:
Nd 0.137 0.050 0.370
La 0.362 0.422 0.412
La 0.112 0.595 0.072
Tl 0.185 0.474 0.688
Nd 0.809 0.758 0.742
Nd 0.861 0.239 0.038
Nd 0.283 0.916 0.020
La 0.662 0.717 0.022
La 0.447 0.928 0.752
La 0.746 0.240 0.379
Nd 0.586 0.945 0.462
La 0.075 0.130 0.777
La 0.495 0.415 0.065
La 0.991 0.673 0.451

Calculated values
Total magnetization = 0.00 μB per atom
Formation energy = 0.5 eV/f.u.
Space group = P1 (1)



(5)
# La2Nd3Tl4

An optimized crystal structure of La2Nd3Tl4 (PBE-GGA, Alexandria).

Cell lengths 5.496, 5.495, 10.846 Å; angles 90.03, 90.00, 59.99 degrees
Fractional coordinates of all 9 atoms:
La 0.667 0.666 0.218
Nd 0.666 0.667 0.577
Nd 0.334 0.333 0.423
La 0.333 0.334 0.782
Tl 0.000 0.000 0.649
Tl 0.333 0.333 0.102
Tl 0.000 0.000 0.351
Nd 0.000 0.000 0.000
Tl 0.667 0.667 0.898

Calculated values
Total magnetization = 0.00 μB per atom
Distance to the lowest polymorph of the same formula = 0 meV/atom
Formation energy = -2.9 eV/f.u.
Space group = P-3m1 (164)



(6)
# La12Nd6Tl

An optimized crystal structure of La12Nd6Tl (PBE-GGA, Alexandria).

Cell lengths 9.484, 9.484, 9.484 Å; angles 109.62, 109.62, 109.62 degrees
Fractional coordinates of all 19 atoms:
Nd 0.264 0.451 0.197
Nd 0.451 0.197 0.264
Nd 0.197 0.264 0.451
La 0.853 0.347 0.495
Nd 0.736 0.549 0.803
Tl 0.000 0.000 0.000
La 0.266 0.061 0.807
La 0.061 0.807 0.266
Nd 0.803 0.736 0.549
La 0.347 0.495 0.853
Nd 0.549 0.803 0.736
La 0.807 0.266 0.061
La 0.193 0.734 0.939
La 0.653 0.505 0.147
La 0.147 0.653 0.505
La 0.505 0.147 0.653
La 0.734 0.939 0.193
La 0.495 0.853 0.347
La 0.939 0.193 0.734

Calculated values
Total magnetization = 0.00 μB per atom
Distance to the lowest polymorph of the same formula = 20 meV/atom
Formation energy = 1.3 eV/f.u.
Space group = R-3 (148)



(7)
# LaNd3Tl2

An optimized crystal structure of LaNd3Tl2 (PBE-GGA, Alexandria).

Cell lengths 5.295, 6.940, 10.458 Å; angles 90.00, 90.00, 90.00 degrees
Fractional coordinates of all 12 atoms:
Nd 0.500 0.177 0.816
La 0.500 0.559 0.546
Tl 0.500 0.206 0.132
Nd 0.000 0.820 0.688
Tl 0.000 0.291 0.636
Nd 0.000 0.447 0.955
Nd 0.000 0.320 0.312
Nd 0.000 0.947 0.045
Tl 0.500 0.706 0.868
Tl 0.000 0.791 0.364
La 0.500 0.059 0.454
Nd 0.500 0.677 0.184

Calculated values
Total magnetization = 0.00 μB per atom
Distance to the lowest polymorph of the same formula = 0 meV/atom
Formation energy = -1.7 eV/f.u.
Space group = Pmc2_1 (26)



(8)
# LaNd3Tl2

An optimized crystal structure of LaNd3Tl2 (PBE-GGA, Alexandria).

Cell lengths 5.534, 9.581, 9.526 Å; angles 124.00, 90.00, 106.79 degrees
Fractional coordinates of all 12 atoms:
Nd 0.696 0.391 0.391
La 0.129 0.259 0.084
Nd 0.940 0.880 0.594
Tl 0.484 0.969 0.138
Nd 0.304 0.609 0.609
Tl 0.774 0.547 0.141
La 0.871 0.741 0.916
Tl 0.516 0.031 0.862
Tl 0.226 0.453 0.859
Nd 0.381 0.763 0.307
Nd 0.619 0.237 0.693
Nd 0.060 0.120 0.406

Calculated values
Total magnetization = 0.00 μB per atom
Distance to the lowest polymorph of the same formula = 80 meV/atom
Formation energy = -1.2 eV/f.u.
Space group = C2/m (12)



(9)
# La4Nd5Tl2

An optimized crystal structure of La4Nd5Tl2 (PBE-GGA, Alexandria).

Cell lengths 3.725, 3.725, 32.328 Å; angles 86.70, 86.70, 60.00 degrees
Fractional coordinates of all 11 atoms:
La 0.683 0.683 0.950
Nd 0.500 0.500 0.500
Nd 0.220 0.220 0.340
La 0.584 0.584 0.248
Nd 0.380 0.380 0.860
La 0.317 0.317 0.050
Tl 0.860 0.860 0.420
La 0.416 0.416 0.752
Nd 0.780 0.780 0.660
Nd 0.620 0.620 0.140
Tl 0.140 0.140 0.580

Calculated values
Total magnetization = 0.00 μB per atom
Formation energy = -0.3 eV/f.u.
Space group = R-3m (166)



(10)
# LaNd15Tl4

An optimized crystal structure of LaNd15Tl4 (PBE-GGA, Alexandria).

Cell lengths 5.002, 5.002, 25.709 Å; angles 90.00, 90.00, 90.00 degrees
Fractional coordinates of all 20 atoms:
Nd 0.000 0.500 0.696
Nd 0.000 0.500 0.107
Nd 0.500 0.000 0.893
Nd 0.500 0.500 0.207
Nd 0.500 0.500 0.000
Nd 0.000 0.500 0.893
Tl 0.000 0.000 0.402
Tl 0.000 0.000 0.598
Nd 0.000 0.500 0.304
Tl 0.000 0.000 0.207
Nd 0.500 0.000 0.107
Nd 0.500 0.000 0.696
Nd 0.500 0.500 0.793
Nd 0.000 0.500 0.500
Nd 0.500 0.000 0.304
Nd 0.500 0.500 0.598
La 0.000 0.000 0.000
Nd 0.500 0.500 0.402
Nd 0.500 0.000 0.500
Tl 0.000 0.000 0.793

Calculated values
Total magnetization = 0.00 μB per atom
Formation energy = -3.1 eV/f.u.
Space group = P4/mmm (123)



(11)
# La5Nd5Tl2

An optimized crystal structure of La5Nd5Tl2 (PBE-GGA, Alexandria).

Cell lengths 5.518, 6.424, 17.032 Å; angles 125.89, 90.00, 115.44 degrees
Fractional coordinates of all 12 atoms:
Nd 0.000 0.000 0.000
La 0.354 0.708 0.010
La 0.500 0.000 0.500
Nd 0.360 0.720 0.235
La 0.646 0.292 0.990
La 0.725 0.450 0.309
Tl 0.989 0.978 0.804
La 0.275 0.550 0.691
Tl 0.011 0.022 0.196
Nd 0.874 0.748 0.574
Nd 0.126 0.252 0.426
Nd 0.640 0.280 0.765

Calculated values
Total magnetization = 0.00 μB per atom
Formation energy = -0.7 eV/f.u.
Space group = C2/m (12)



(12)
# La4Nd15Tl

An optimized crystal structure of La4Nd15Tl (PBE-GGA, Alexandria).

Cell lengths 5.154, 5.154, 26.196 Å; angles 90.00, 90.00, 90.00 degrees
Fractional coordinates of all 20 atoms:
Nd 0.000 0.500 0.500
Nd 0.500 0.500 0.398
Nd 0.500 0.000 0.297
Nd 0.500 0.000 0.095
Nd 0.500 0.500 0.602
Nd 0.500 0.500 0.805
Nd 0.000 0.500 0.095
La 0.000 0.000 0.803
Tl 0.000 0.000 0.000
Nd 0.000 0.500 0.297
Nd 0.500 0.500 0.195
Nd 0.500 0.000 0.500
La 0.000 0.000 0.197
Nd 0.500 0.500 0.000
Nd 0.000 0.500 0.703
Nd 0.000 0.500 0.905
La 0.000 0.000 0.399
Nd 0.500 0.000 0.905
Nd 0.500 0.000 0.703
La 0.000 0.000 0.601

Calculated values
Total magnetization = 0.00 μB per atom
Formation energy = -0.4 eV/f.u.
Space group = P4/mmm (123)



(13)
# La5NdTl

An optimized crystal structure of La5NdTl (PBE-GGA, Alexandria).

Cell lengths 6.717, 6.717, 11.550 Å; angles 102.73, 102.73, 96.53 degrees
Fractional coordinates of all 14 atoms:
Nd 0.469 0.531 0.250
La 0.229 0.535 0.485
La 0.157 0.843 0.750
La 0.958 0.631 0.171
La 0.535 0.229 0.985
Nd 0.531 0.469 0.750
La 0.042 0.369 0.829
La 0.843 0.157 0.250
Tl 0.000 0.000 0.000
La 0.369 0.042 0.329
La 0.465 0.771 0.015
Tl 0.000 0.000 0.500
La 0.631 0.958 0.671
La 0.771 0.465 0.515

Calculated values
Total magnetization = 0.00 μB per atom
Formation energy = -0.1 eV/f.u.
Space group = C2/c (15)



(14)
# La4NdTl

An optimized crystal structure of La4NdTl (PBE-GGA, Alexandria).

Cell lengths 6.304, 7.151, 10.788 Å; angles 90.00, 124.46, 90.00 degrees
Fractional coordinates of all 12 atoms:
La 0.499 0.493 0.342
Nd 0.500 0.000 0.000
La 0.012 0.250 0.675
La 0.499 0.007 0.342
La 0.988 0.750 0.325
Tl 0.006 0.750 0.660
Nd 0.500 0.500 0.000
La 0.015 0.750 0.990
La 0.985 0.250 0.010
Tl 0.994 0.250 0.340
La 0.501 0.993 0.658
La 0.501 0.507 0.658

Calculated values
Total magnetization = 0.00 μB per atom
Distance to the lowest polymorph of the same formula = 0 meV/atom
Formation energy = -0.8 eV/f.u.
Space group = P2_1/m (11)



(15)
# La3Nd2Tl7

An optimized crystal structure of La3Nd2Tl7 (PBE-GGA, Alexandria).

Cell lengths 5.742, 5.455, 12.871 Å; angles 102.23, 90.00, 90.00 degrees
Fractional coordinates of all 12 atoms:
La 0.500 0.337 0.675
Nd 0.000 0.856 0.712
Tl 0.500 0.919 0.837
La 0.500 0.500 0.000
Tl 0.000 0.275 0.550
Tl 0.000 0.000 0.000
Nd 0.000 0.144 0.288
Tl 0.000 0.725 0.450
Tl 0.000 0.574 0.148
Tl 0.000 0.426 0.852
La 0.500 0.663 0.325
Tl 0.500 0.081 0.163

Calculated values
Total magnetization = 0.00 μB per atom
Formation energy = -2.3 eV/f.u.
Space group = Cmmm (65)



(16)
# La8NdTl2

An optimized crystal structure of La8NdTl2 (PBE-GGA, Alexandria).

Cell lengths 5.291, 9.106, 9.615 Å; angles 118.26, 105.97, 90.00 degrees
Fractional coordinates of all 11 atoms:
La 0.852 0.852 0.705
La 0.148 0.148 0.295
La 0.000 0.325 0.000
La 0.339 0.120 0.679
La 0.339 0.559 0.679
Tl 0.195 0.695 0.389
La 0.661 0.441 0.321
Tl 0.805 0.305 0.611
Nd 0.500 0.000 0.000
La 0.000 0.675 0.000
La 0.661 0.880 0.321

Calculated values
Total magnetization = 0.00 μB per atom
Distance to the lowest polymorph of the same formula = 0 meV/atom
Formation energy = -1.1 eV/f.u.
Space group = Immm (71)



(17)
# LaNd7Tl4

An optimized crystal structure of LaNd7Tl4 (PBE-GGA, Alexandria).

Cell lengths 5.921, 9.583, 8.031 Å; angles 74.26, 68.37, 72.00 degrees
Each line ends with the local moment (μB).
Fractional coordinates of all 12 atoms:
Nd 0.061 0.606 0.272  0.00
Nd 0.204 0.119 0.473  0.00
Nd 0.500 0.000 0.000  0.07
La 0.000 0.000 0.000  0.07
Tl 0.442 0.749 0.367  0.00
Tl 0.313 0.332 0.041  0.00
Nd 0.278 0.659 0.786  0.00
Nd 0.796 0.881 0.527  0.00
Nd 0.722 0.341 0.214  0.00
Tl 0.558 0.251 0.633  0.00
Nd 0.939 0.394 0.728  0.00
Tl 0.687 0.668 0.959  0.00

Calculated values
Total magnetization = 0.02 μB per atom
Formation energy = -1.0 eV/f.u.
Space group = C2/m (12)



(18)
# LaNd12Tl6

An optimized crystal structure of LaNd12Tl6 (PBE-GGA, Alexandria).

Cell lengths 9.003, 9.003, 9.003 Å; angles 102.73, 102.73, 102.73 degrees
Fractional coordinates of all 19 atoms:
Nd 0.110 0.890 0.500
Nd 0.110 0.500 0.890
Nd 0.890 0.110 0.500
Nd 0.828 0.565 0.565
Nd 0.565 0.828 0.565
Tl 0.721 0.254 0.254
Nd 0.435 0.172 0.435
Nd 0.565 0.565 0.828
Tl 0.279 0.746 0.746
Tl 0.746 0.746 0.279
Tl 0.254 0.721 0.254
Tl 0.254 0.254 0.721
Nd 0.890 0.500 0.110
Nd 0.172 0.435 0.435
Nd 0.500 0.110 0.890
Nd 0.500 0.890 0.110
Nd 0.435 0.435 0.172
Tl 0.746 0.279 0.746
La 0.000 0.000 0.000

Calculated values
Total magnetization = 0.00 μB per atom
Formation energy = -0.6 eV/f.u.
Space group = R-3m (166)



(19)
# LaNdTl

An optimized crystal structure of LaNdTl (PBE-GGA, Alexandria).

Cell lengths 5.397, 5.397, 5.397 Å; angles 60.00, 60.00, 60.00 degrees
Each line ends with the local moment (μB).
Fractional coordinates of all 3 atoms:
Nd 0.000 0.000 0.000  0.17
La 0.500 0.500 0.500  0.14
Tl 0.250 0.250 0.250  -0.01

Calculated values
Total magnetization = 0.24 μB per atom
Distance to the lowest polymorph of the same formula = 199 meV/atom
Formation energy = -0.3 eV/f.u.
Space group = F-43m (216)



(20)
# La2Nd3Tl2

An optimized crystal structure of La2Nd3Tl2 (PBE-GGA, Alexandria).

Cell lengths 5.643, 5.640, 9.001 Å; angles 108.29, 90.00, 120.01 degrees
Fractional coordinates of all 7 atoms:
Tl 0.782 0.564 0.846
Nd 0.347 0.693 0.540
Tl 0.218 0.436 0.154
Nd 0.500 0.000 0.000
La 0.921 0.842 0.264
Nd 0.653 0.307 0.460
La 0.079 0.158 0.736

Calculated values
Total magnetization = 0.00 μB per atom
Distance to the lowest polymorph of the same formula = 0 meV/atom
Formation energy = -1.5 eV/f.u.
Space group = C2/m (12)